[1]
This record from Alexandria via LeMat-Bulk describes crystalline TlAuO2F at its relaxed geometry. The functional is PBEsol.

## Properties
The formation energy from raw total energies is -0.3307 eV/atom. Its total energy is -4.127 eV per atom. The total magnetization comes out at 1.08 μB per cell.

abc: 3.882 3.882 5.229
angles: 90.00 90.00 90.00
Fractional coordinates of all 5 atoms:
Tl1 0.000 0.000 0.000
Au1 0.500 0.500 0.500
O1 0.000 0.500 0.500
O2 0.500 0.000 0.500
F1 0.500 0.500 0.000

***

[2]
This record from Alexandria via LeMat-Bulk describes crystalline W2AuOF at its relaxed geometry. The functional is PBEsol.

## Properties
The formation energy from raw total energies is 2.2705 eV/atom. Its total energy is -5.473 eV per atom. The total magnetization comes out at 7.39 μB per cell.

abc: 5.123 5.123 3.898
angles: 90.00 90.00 90.00
Fractional coordinates of all 5 atoms:
W1 0.000 0.500 0.000
W2 0.500 0.000 0.000
Au1 0.000 0.000 0.000
O1 0.000 0.000 0.500
F1 0.500 0.500 0.500

***

[3]
This record from Alexandria via LeMat-Bulk describes crystalline ZrAuOF2 at its relaxed geometry. The functional is PBEsol.

## Properties
The formation energy from raw total energies is -0.4171 eV/atom. Its total energy is -4.841 eV per atom. The total magnetization comes out at 1.76 μB per cell. The polymorph energy (0 for the lowest one) comes out at 1727 meV/atom.

abc: 4.400 4.400 4.003
angles: 90.00 90.00 90.00
Fractional coordinates of all 5 atoms:
Zr1 0.000 0.000 0.000
Au1 0.500 0.500 0.500
O1 0.500 0.500 0.000
F1 0.000 0.500 0.500
F2 0.500 0.000 0.500